[1]
{"formula": "K3NbH", "functional": "PBE", "state": "optimized geometry", "lattice_angstrom": [[-3.692, 1.883, 3.781], [-1.061, -5.274, 1.591], [4.089, 0.332, 3.827]], "species": ["H", "Nb", "K", "K", "K"], "frac_coords": [[0.000, 0.000, 0.000], [0.500, 0.500, 0.500], [0.000, 0.500, 0.000], [0.000, 0.000, 0.500], [0.500, 0.000, 0.000]], "energy_ev_per_atom": -2.50, "crystal_system": "cubic"}



[2]
{"formula": "Sc2CrAs", "functional": "PBE", "state": "optimized geometry", "lattice_angstrom": [[-0.269, 1.655, 7.543], [0.389, -1.934, 7.471], [3.134, 0.433, 7.050]], "species": ["As", "Cr", "Sc", "Sc"], "frac_coords": [[0.250, 0.250, 0.250], [0.750, 0.750, 0.750], [0.989, 0.989, 0.989], [0.511, 0.511, 0.511]], "crystal_system": "trigonal", "ef_mev_per_atom": -184}



[3]
{"formula": "NdNp2N3", "functional": "PBE", "state": "optimized geometry", "lattice_angstrom": [[3.337, 0.000, -1.010], [-0.620, 4.527, -2.049], [0.022, -0.009, 6.091]], "species": ["Nd", "Np", "Np", "N", "N", "N"], "frac_coords": [[0.500, 0.500, 0.500], [0.835, 0.835, 0.170], [0.165, 0.165, 0.830], [0.816, 0.316, 0.132], [0.184, 0.684, 0.868], [0.500, 0.000, 0.500]], "crystal_system": "orthorhombic", "raw_formation_energy_ev_per_atom": -1.187}



no.,M_tot (Bohr magnetons per cell)
1,5.02
2,3.60
3,6.67